1) DFT (PBE-GGA) results for a geometry-optimized Zn2SnHg structure.

The structure in CIF format:
```
data_Zn2SnHg
_space_group_name_H-M_alt 'F m -3 m'
_space_group_IT_number 225
_space_group_name_Hall '-F 4 2 3'
_cell_length_a 6.986
_cell_length_b 6.986
_cell_length_c 6.986
_cell_angle_alpha 90.00
_cell_angle_beta 90.00
_cell_angle_gamma 90.00
loop_
_atom_site_label
_atom_site_type_symbol
_atom_site_fract_x
_atom_site_fract_y
_atom_site_fract_z
_atom_site_occupancy
Zn1 Zn 0.250 0.250 0.250 1
Sn1 Sn 0.000 0.000 0.000 1
Hg1 Hg 0.000 0.000 0.500 1
```

**Density of states at the Fermi level**: 1.798 states/eV/f.u.
**Total moment**: 0.0 μB per cell



2) DFT (PBE-GGA) results for a geometry-optimized Zn2SnHg structure.

The structure in CIF format:
```
data_Zn2SnHg
_space_group_name_H-M_alt 'P 4/m m m'
_space_group_IT_number 123
_space_group_name_Hall '-P 4 2'
_cell_length_a 4.539
_cell_length_b 4.539
_cell_length_c 4.084
_cell_angle_alpha 90.00
_cell_angle_beta 90.00
_cell_angle_gamma 90.00
loop_
_atom_site_label
_atom_site_type_symbol
_atom_site_fract_x
_atom_site_fract_y
_atom_site_fract_z
_atom_site_occupancy
Zn1 Zn 0.000 0.500 0.000 1
Sn1 Sn 0.000 0.000 0.500 1
Hg1 Hg 0.500 0.500 0.500 1
```

**Density of states at the Fermi level**: 1.458 states/eV/f.u.
**Total moment**: 0.0 μB per cell



Which of them is least stable? Easy: 1).



1) DFT (PBE-GGA) results for a geometry-optimized Zn2SnHg structure.

The structure in CIF format:
```
data_Zn2SnHg
_space_group_name_H-M_alt 'P 4/m m m'
_space_group_IT_number 123
_space_group_name_Hall '-P 4 2'
_cell_length_a 3.279
_cell_length_b 3.279
_cell_length_c 7.809
_cell_angle_alpha 90.00
_cell_angle_beta 90.00
_cell_angle_gamma 90.00
loop_
_atom_site_label
_atom_site_type_symbol
_atom_site_fract_x
_atom_site_fract_y
_atom_site_fract_z
_atom_site_occupancy
Zn1 Zn 0.000 0.000 0.239 1
Sn1 Sn 0.500 0.500 0.500 1
Hg1 Hg 0.500 0.500 0.000 1
```

**Density of states at the Fermi level**: 1.488 states/eV/f.u.
**Total moment**: 0.0 μB per cell



2) DFT (PBE-GGA) results for a geometry-optimized Zn2SnHg structure.

The structure in CIF format:
```
data_Zn2SnHg
_space_group_name_H-M_alt 'R -3 m'
_space_group_IT_number 166
_space_group_name_Hall '-R 3 2"'
_cell_length_a 3.9195
_cell_length_b 3.9195
_cell_length_c 20.4637
_cell_angle_alpha 90.00
_cell_angle_beta 90.00
_cell_angle_gamma 120.00
loop_
_atom_site_label
_atom_site_type_symbol
_atom_site_fract_x
_atom_site_fract_y
_atom_site_fract_z
_atom_site_occupancy
Zn1 Zn 0.0000 0.0000 0.2484 1
Sn1 Sn 0.0000 0.0000 0.0000 1
Hg1 Hg 0.0000 0.0000 0.5000 1
```

**Density of states at the Fermi level**: 1.267 states/eV/f.u.
**Total moment**: 0.0 μB per cell



Which of them is least stable? Easy: 2).



1) DFT (PBE-GGA) results for a geometry-optimized Zr6SnHg structure.

The structure in CIF format:
```
data_Zr6SnHg
_space_group_name_H-M_alt 'C 1 2/m 1'
_space_group_IT_number 12
_cell_length_a 8.635
_cell_length_b 6.049
_cell_length_c 7.972
_cell_angle_alpha 90.00
_cell_angle_beta 106.66
_cell_angle_gamma 90.00
loop_
_space_group_symop_operation_xyz
'x,y,z'
'-x,-y,-z'
'-x,y,-z'
'x,-y,z'
'x+1/2,y+1/2,z'
'-x+1/2,-y+1/2,-z'
'-x+1/2,y+1/2,-z'
'x+1/2,-y+1/2,z'
loop_
_atom_site_label
_atom_site_type_symbol
_atom_site_fract_x
_atom_site_fract_y
_atom_site_fract_z
_atom_site_occupancy
Zr1 Zr 0.139 0.000 0.441 1
Zr2 Zr 0.199 0.246 0.802 1
Sn1 Sn 0.000 0.000 0.000 1
Hg1 Hg 0.000 0.500 0.500 1
```

**Density of states at the Fermi level**: 7.784 states/eV/f.u.
**Total moment**: 0.0 μB per cell



2) DFT (PBE-GGA) results for a geometry-optimized Zr6SnHg structure.

The structure in CIF format:
```
data_Zr6SnHg
_space_group_name_H-M_alt 'A m m 2'
_space_group_IT_number 38
_cell_length_a 4.160
_cell_length_b 9.168
_cell_length_c 9.479
_cell_angle_alpha 90.00
_cell_angle_beta 90.00
_cell_angle_gamma 90.00
loop_
_space_group_symop_operation_xyz
'x,y,z'
'-x,-y,z'
'-x,y,z'
'x,-y,z'
'x,y+1/2,z+1/2'
'-x,-y+1/2,z+1/2'
'-x,y+1/2,z+1/2'
'x,-y+1/2,z+1/2'
loop_
_atom_site_label
_atom_site_type_symbol
_atom_site_fract_x
_atom_site_fract_y
_atom_site_fract_z
_atom_site_occupancy
Zr1 Zr 0.000 0.000 0.000 1
Zr2 Zr 0.000 0.243 0.252 1
Zr3 Zr 0.500 0.000 0.761 1
Zr4 Zr 0.500 0.248 0.501 1
Sn1 Sn 0.500 0.000 0.246 1
Hg1 Hg 0.000 0.000 0.520 1
```

**Density of states at the Fermi level**: 9.758 states/eV/f.u.
**Total moment**: 0.0 μB per cell



Which of them is least stable? Easy: 1).



1) DFT (PBE-GGA) results for a geometry-optimized Zr3SnHg structure.

The structure in CIF format:
```
data_Zr3SnHg
_space_group_name_H-M_alt 'P m -3 m'
_space_group_IT_number 221
_space_group_name_Hall '-P 4 2 3'
_cell_length_a 5.287
_cell_length_b 5.287
_cell_length_c 5.287
_cell_angle_alpha 90.00
_cell_angle_beta 90.00
_cell_angle_gamma 90.00
loop_
_atom_site_label
_atom_site_type_symbol
_atom_site_fract_x
_atom_site_fract_y
_atom_site_fract_z
_atom_site_occupancy
Zr1 Zr 0.000 0.000 0.500 1
Sn1 Sn 0.000 0.000 0.000 1
Hg1 Hg 0.500 0.500 0.500 1
```

**Density of states at the Fermi level**: 4.690 states/eV/f.u.
**Total moment**: 0.0 μB per cell



2) DFT (PBE-GGA) results for a geometry-optimized Zr3SnHg structure.

The structure in CIF format:
```
data_Zr3SnHg
_space_group_name_H-M_alt 'C 1 2/c 1'
_space_group_IT_number 15
_cell_length_a 12.125
_cell_length_b 9.872
_cell_length_c 8.745
_cell_angle_alpha 90.00
_cell_angle_beta 120.82
_cell_angle_gamma 90.00
loop_
_space_group_symop_operation_xyz
'x,y,z'
'-x,-y,-z'
'-x,y,-z+1/2'
'x,-y,z+1/2'
'x+1/2,y+1/2,z'
'-x+1/2,-y+1/2,-z'
'-x+1/2,y+1/2,-z+1/2'
'x+1/2,-y+1/2,z+1/2'
loop_
_atom_site_label
_atom_site_type_symbol
_atom_site_fract_x
_atom_site_fract_y
_atom_site_fract_z
_atom_site_occupancy
Zr1 Zr 0.091 0.134 0.166 1
Zr2 Zr 0.111 0.366 0.632 1
Zr3 Zr 0.201 0.367 0.046 1
Sn1 Sn 0.212 0.107 0.567 1
Hg1 Hg 0.000 0.147 0.750 1
Hg2 Hg 0.000 0.413 0.250 1
```

**Density of states at the Fermi level**: 4.581 states/eV/f.u.
**Total moment**: 0.0 μB per cell



Which of them is least stable? Easy: 1).



1) DFT (PBE-GGA) results for a geometry-optimized ZrSnHg structure.

The structure in CIF format:
```
data_ZrSnHg
_space_group_name_H-M_alt 'I 4/m m m'
_space_group_IT_number 139
_space_group_name_Hall '-I 4 2'
_cell_length_a 4.279
_cell_length_b 4.279
_cell_length_c 15.185
_cell_angle_alpha 90.00
_cell_angle_beta 90.00
_cell_angle_gamma 90.00
loop_
_atom_site_label
_atom_site_type_symbol
_atom_site_fract_x
_atom_site_fract_y
_atom_site_fract_z
_atom_site_occupancy
Zr1 Zr 0.000 0.000 0.153 1
Sn1 Sn 0.000 0.000 0.343 1
Hg1 Hg 0.000 0.500 0.000 1
```

**Density of states at the Fermi level**: 1.833 states/eV/f.u.
**Total moment**: 0.0 μB per cell



2) DFT (PBE-GGA) results for a geometry-optimized ZrSnHg structure.

The structure in CIF format:
```
data_ZrSnHg
_space_group_name_H-M_alt 'P 3 m 1'
_space_group_IT_number 156
_cell_length_a 4.9383
_cell_length_b 4.9383
_cell_length_c 3.2422
_cell_angle_alpha 90.00
_cell_angle_beta 90.00
_cell_angle_gamma 120.00
loop_
_space_group_symop_operation_xyz
'x,y,z'
'-y,x-y,z'
'-x+y,-x,z'
'-y,-x,z'
'-x+y,y,z'
'x,x-y,z'
loop_
_atom_site_label
_atom_site_type_symbol
_atom_site_fract_x
_atom_site_fract_y
_atom_site_fract_z
_atom_site_occupancy
Zr1 Zr 0.0000 0.0000 0.0000 1
Sn1 Sn 0.6667 0.3333 0.4369 1
Hg1 Hg 0.3333 0.6667 0.6702 1
```

**Density of states at the Fermi level**: 1.261 states/eV/f.u.
**Total moment**: 0.0 μB per cell



Which of them is least stable? Easy: 2).



1) DFT (PBE-GGA) results for a geometry-optimized Zr2SnHg2 structure.

The structure in CIF format:
```
data_Zr2SnHg2
_space_group_name_H-M_alt 'P 4/m b m'
_space_group_IT_number 127
_space_group_name_Hall '-P 4 2ab'
_cell_length_a 7.558
_cell_length_b 7.558
_cell_length_c 4.230
_cell_angle_alpha 90.00
_cell_angle_beta 90.00
_cell_angle_gamma 90.00
loop_
_atom_site_label
_atom_site_type_symbol
_atom_site_fract_x
_atom_site_fract_y
_atom_site_fract_z
_atom_site_occupancy
Zr1 Zr 0.146 0.354 0.000 1
Sn1 Sn 0.000 0.000 0.000 1
Hg1 Hg 0.153 0.653 0.500 1
```

**Density of states at the Fermi level**: 3.945 states/eV/f.u.
**Total moment**: 1.7 μB per cell



2) DFT (PBE-GGA) results for a geometry-optimized Zr2SnHg2 structure.

The structure in CIF format:
```
data_Zr2SnHg2
_space_group_name_H-M_alt 'P 4/m b m'
_space_group_IT_number 127
_space_group_name_Hall '-P 4 2ab'
_cell_length_a 8.288
_cell_length_b 8.288
_cell_length_c 3.385
_cell_angle_alpha 90.00
_cell_angle_beta 90.00
_cell_angle_gamma 90.00
loop_
_atom_site_label
_atom_site_type_symbol
_atom_site_fract_x
_atom_site_fract_y
_atom_site_fract_z
_atom_site_occupancy
Zr1 Zr 0.171 0.329 0.000 1
Sn1 Sn 0.000 0.000 0.500 1
Hg1 Hg 0.127 0.627 0.500 1
```

**Density of states at the Fermi level**: 4.537 states/eV/f.u.
**Total moment**: 0.0 μB per cell



Which of them is least stable? Easy: 2).